1.
{
  "formula": "TlAsIr3",
  "functional": "PBE",
  "state": "relaxed",
  "relative_energy_kj_per_mol_fu": 0.0,
  "dft_energy_ev_per_atom": -5.724,
  "rho_g_cm3": 14.3,
  "magnetic_moment_mub_per_cell": 0.00,
  "formation_energy_ev_per_atom": 0.996,
  "lattice": [[-3.911, -1.931, -1.562], [-0.278, -2.554, 3.855], [-2.468, 3.348, 2.040]],
  "species": ["Tl", "Ir", "As", "Ir", "Ir"],
  "frac_coords": [[0.500, 0.500, 0.500], [0.500, 0.000, 0.000], [0.000, 0.000, 0.000], [0.000, 0.000, 0.500], [0.000, 0.500, 0.000]]
}

2.
{
  "formula": "TlAsIr",
  "functional": "PBE",
  "state": "relaxed",
  "relative_energy_kj_per_mol_fu": 59.2,
  "dft_energy_ev_per_atom": -5.046,
  "rho_g_cm3": 12.3,
  "magnetic_moment_mub_per_cell": 0.00,
  "formation_energy_ev_per_atom": 0.246,
  "lattice": [[4.488, 0.000, 0.000], [2.244, 3.886, 0.000], [2.244, 1.295, 3.664]],
  "species": ["As", "Tl", "Ir"],
  "frac_coords": [[0.500, 0.500, 0.500], [0.000, 0.000, 0.000], [0.750, 0.750, 0.750]]
}